{
  "formula": "RePtRh2",
  "functional": "PBEsol",
  "state": "optimized geometry",
  "sg": "No. 119",
  "mass_density_g_cm3": 17.4,
  "e_above_lowest_polymorph_mev_per_atom": 70,
  "e_form_ev_per_atom": -0.08,
  "magnetic_moment_mub_per_cell": 0.00,
  "vol_a3_per_atom": 14.0,
  "final_energy_ry_per_atom": -0.67770,
  "lattice_angstrom": [[-0.945, -3.651, -0.519], [1.407, -0.852, 3.433], [-3.691, 2.922, 0.127]],
  "species": ["Pt", "Re", "Rh", "Rh"],
  "frac_coords": [[0.000, 0.000, 0.000], [0.250, 0.750, 0.500], [0.750, 0.250, 0.500], [0.500, 0.500, 0.000]]
}